[1]
Zn3P2 after structural relaxation. Source: Alexandria, functional PBE.

Cell: 10.817 6.255 6.340 Å, 90.00 124.86 90.00°
Space group C2/c (No. 15)
Symmetry-distinct sites (fractional):
Zn (0.000, 0.016, 0.250) x4
Zn (0.133, 0.383, 0.750) x8
P (0.130, 0.250, 0.141) x8

Total magnetization   0.000 μB per cell
Offset from the most stable computed form   123 meV/atom
Crystal system   monoclinic
Formation energy from the elements   -0.057 eV per atom

[2]
ZnP3 after structural relaxation. Source: Alexandria, functional PBE.

Cell: 8.3730 8.3730 2.9710 Å, 90.00 90.00 120.00°
Space group R-3m (No. 166, hexagonal axes)
Symmetry-distinct sites (fractional):
Zn (0.0000, 0.0000, 0.0000) x3
P (0.0000, 0.5000, 0.0000) x9

Total magnetization   0.000 μB per cell
Offset from the most stable computed form   689 meV/atom
Crystal system   trigonal
Formation energy from the elements   0.565 eV per atom

[3]
ZnP2 after structural relaxation. Source: Alexandria, functional PBE.

Cell: 3.181 3.181 19.742 Å, 90.00 90.00 90.00°
Space group I4_1/amd (No. 141, origin choice 2)
Symmetry-distinct sites (fractional):
Zn (0.000, 0.250, 0.375) x4
P (0.000, 0.250, 0.789) x8

Total magnetization   0.000 μB per cell
Crystal system   tetragonal
Formation energy from the elements   0.282 eV per atom